[1]
Compound: TmHfZn4
Source: the Alexandria database
Functional: PBE
Structure: optimized geometry

Cell lengths 7.500, 7.500, 7.500 Å; angles 90.00, 90.00, 90.00 degrees
Space group F-43m (No. 216)
Unique sites:
Tm: 0.000 0.000 0.000
Hf: 0.250 0.250 0.750
Zn: 0.124 0.124 0.376

Calculated values
Its crystal system is cubic. Its energy relative to the elements is -220 meV/atom. The value obtained for the energy relative to the lowest polymorph listed for this composition is 61 meV/atom.

---

[2]
Compound: K4Ce3AuSe8
Source: the Alexandria database
Functional: PBE
Structure: optimized geometry

Cell lengths 15.187, 8.413, 9.128 Å; angles 90.00, 122.94, 90.00 degrees
Space group C2/m (No. 12)
Unique sites:
K: 0.000 0.000 0.000
K: 0.000 0.500 0.000
K: 0.250 0.250 0.000
Ce: 0.000 0.000 0.500
Ce: 0.250 0.250 0.500
Au: 0.000 0.500 0.500
Se: 0.019 0.257 0.303
Se: 0.234 0.000 0.710
Se: 0.245 0.000 0.281

Calculated values
Its crystal system is monoclinic. The calculation puts the formation energy (no corrections) at -1381 meV/atom.

---

[3]
Compound: Pa2CdBi
Source: the Alexandria database
Functional: PBE
Structure: optimized geometry

Cell lengths 3.2291, 3.2291, 37.0544 Å; angles 90.00, 90.00, 120.00 degrees
Space group R-3m (No. 166, hexagonal axes)
Unique sites:
Pa: 0.0000 0.0000 0.0888
Cd: 0.0000 0.0000 0.0000
Bi: 0.0000 0.0000 0.5000

Calculated values
Its crystal system is trigonal. Its energy relative to the elements is 329 meV/atom. The value obtained for the energy relative to the lowest polymorph listed for this composition is 229 meV/atom.